Record 1
AcGa3IrPt | PBE-GGA | optimized geometry

Output
The value obtained for the total magnetic moment is 0.00 μB per formula unit. The value obtained for the total energy is -125.7 eV for the cell shown. The value obtained for the energy of formation from the pure elements is -53.61 kJ/mol of atoms.

Geometry as CIF:
```
data_AcGa3IrPt
_chemical_formula_sum 'Ac4 Ga12 Ir4 Pt4'
_cell_length_a 6.299
_cell_length_b 12.652
_cell_length_c 6.883
_cell_angle_alpha 90.00
_cell_angle_beta 90.00
_cell_angle_gamma 90.00
_symmetry_space_group_name_H-M 'C m c m'
_symmetry_Int_Tables_number 63
_symmetry_space_group_name_Hall '-C 2c 2'
loop_
_atom_site_label
_atom_site_fract_x
_atom_site_fract_y
_atom_site_fract_z
_atom_site_occupancy
Ac1 0.000 0.222 0.250 1
Ga1 0.000 0.213 0.750 1
Ga2 0.210 0.500 0.000 1
Ir1 0.000 0.396 0.750 1
Pt1 0.000 0.026 0.750 1
```

---

Record 2
ScAlAs2Se | PBE-GGA | optimized geometry

Output
The value obtained for the total magnetic moment is 0.00 μB per formula unit. The value obtained for the total energy is -22.9 eV for the cell shown. The value obtained for the energy above the most stable polymorph in this dataset is 0.000 eV/atom.

Geometry as CIF:
```
data_ScAlAs2Se
_chemical_formula_sum 'Sc1 Al1 As2 Se1'
_cell_length_a 4.797
_cell_length_b 4.797
_cell_length_c 4.948
_cell_angle_alpha 90.00
_cell_angle_beta 90.00
_cell_angle_gamma 90.00
_symmetry_space_group_name_H-M 'P 4/m m m'
_symmetry_Int_Tables_number 123
_symmetry_space_group_name_Hall '-P 4 2'
loop_
_atom_site_label
_atom_site_fract_x
_atom_site_fract_y
_atom_site_fract_z
_atom_site_occupancy
Sc1 0.000 0.000 0.000 1
Al1 0.500 0.500 0.500 1
As1 0.000 0.500 0.500 1
Se1 0.500 0.500 0.000 1
```

---

Record 3
TeAsIr2 | PBE-GGA | optimized geometry

Output
The value obtained for the total magnetic moment is 0.00 μB per formula unit. The value obtained for the total energy is -47.0 eV for the cell shown. The value obtained for the energy above the most stable polymorph in this dataset is 0.635 eV/atom.

Geometry as CIF:
```
data_TeAsIr2
_chemical_formula_sum 'Te2 As2 Ir4'
_cell_length_a 2.943
_cell_length_b 5.186
_cell_length_c 10.233
_cell_angle_alpha 90.00
_cell_angle_beta 90.00
_cell_angle_gamma 90.00
_symmetry_space_group_name_H-M 'C m m 2'
_symmetry_Int_Tables_number 35
_symmetry_space_group_name_Hall 'C 2 -2'
loop_
_atom_site_label
_atom_site_fract_x
_atom_site_fract_y
_atom_site_fract_z
_atom_site_occupancy
Te1 0.000 0.000 0.000 1
As1 0.000 0.500 0.646 1
Ir1 0.000 0.000 0.450 1
Ir2 0.000 0.500 0.223 1
```